1.
The following is a DFT calculation (GGA-PBE) of a relaxed PuGeHRh crystal.

Properties
DOS(E_F) = 11.68 states/eV/f.u.
Volume = 15.47 Å³ per atom
Energy = -7.956 eV per atom
Space group = P-6m2, No. 187

Cell lengths 4.3706, 4.3712, 3.7393 Å; angles 90.02, 90.00, 120.00 degrees
Last column: nearest neighbours and their distance in Å.
Sites, in units of the cell vectors:
Pu 0.5719 0.1438 0.3098  3 H 2.52
Ge 0.9052 0.8105 0.8098  3 Rh 2.52
H 0.2386 0.4772 0.3097  2 Rh 1.87
Rh 0.2386 0.4772 0.8098  2 H 1.87

=====

2.
The following is a DFT calculation (GGA-PBE) of a relaxed PuGeHRh2 crystal.

Properties
DOS(E_F) = 12.23 states/eV/f.u.
Volume = 15.18 Å³ per atom
Energy = -7.932 eV per atom
Space group = Cmcm, No. 63

Cell lengths 3.8917, 5.8090, 7.1269 Å; angles 90.00, 90.00, 109.57 degrees
Last column: nearest neighbours and their distance in Å.
Sites, in units of the cell vectors:
Pu 0.4396 0.8791 0.7500  4 H 2.72
Pu 0.5604 0.1209 0.2500  4 H 2.72
Ge 0.7194 0.4389 0.7500  6 Rh 2.51-2.53
Ge 0.2806 0.5611 0.2500  6 Rh 2.51-2.53
H 0.0000 0.0000 0.0000  2 Rh 1.74
H 0.0000 0.0000 0.5000  2 Rh 1.74
Rh 0.1561 0.3123 0.9511  1 H 1.74
Rh 0.8439 0.6877 0.0489  1 H 1.74
Rh 0.1561 0.3123 0.5489  1 H 1.74
Rh 0.8439 0.6877 0.4511  1 H 1.74

=====

3.
The following is a DFT calculation (GGA-PBE) of a relaxed Pu2Ge2HRu2 crystal.

Properties
DOS(E_F) = 20.61 states/eV/f.u.
Volume = 17.10 Å³ per atom
Energy = -8.950 eV per atom
Space group = I4/mmm, No. 139

Cell lengths 4.1040, 4.1040, 7.6782 Å; angles 105.50, 105.50, 90.00 degrees
Last column: nearest neighbours and their distance in Å.
Sites, in units of the cell vectors:
Pu 0.1676 0.1676 0.3352  1 H 2.38
Pu 0.8324 0.8324 0.6648  1 H 2.38
Ge 0.3901 0.3901 0.7803  4 Ru 2.58
Ge 0.6099 0.6099 0.2197  4 Ru 2.58
H 0.0000 0.0000 0.0000  4 Ru 2.05
Ru 0.0000 0.5000 0.0000  2 H 2.05
Ru 0.5000 0.0000 0.0000  2 H 2.05